The following is a PBE calculation of an optimized crystal structure of FeSiHg2, from the Alexandria database.

Properties
total magnetic moment	2.8	μB per cell
density	10.778	g/cm³
energy relative to the elements, uncorrected	65.0	kJ/mol of atoms
DOS(E_F)	2.579	states/eV per cell
total DFT energy (no corrections)	-11.80	eV/cell

abc: 4.728 4.728 4.728
angles: 60.00 60.00 60.00
Last column: magnetic moment on the atom in μB.
Positions (direct):
Hg: 0.250 0.250 0.250  0.02
Hg: 0.000 0.000 0.000  0.02
Si: 0.750 0.750 0.750  -0.03
Fe: 0.500 0.500 0.500  2.79